Here is a relaxed structure of Os2Br from the Alexandria database. Energies are from GGA-PBE.

abc: 4.151 4.151 4.245
angles: 90.00 90.00 120.00
Fractional coordinates of all 3 atoms:
Os  0.333  0.667  0.500
Os  0.667  0.333  0.500
Br  0.000  0.000  0.000

Properties
Its energy above the most stable polymorph in this dataset is 1227 meV per atom. The total magnetization is 0.0 μB/f.u. The value obtained for the uncorrected formation energy is 1768 meV/atom. As for the density of states at the Fermi level: 1.174 states/eV/atom.